# 1
## MgTl2Se2 (PBE)

Data for a geometry-optimized MgTl2Se2 structure.

Computed properties:
**D(E_F)**: 0.00 states/eV per cell
**Formation energy (no corrections)**: -0.6927 eV per atom
**Crystal system**: monoclinic
**Relative energy among the computed polymorphs**: 0.0 meV per atom
**Space group**: C2/c (15)

a = 7.009 Å, b = 8.388 Å, c = 8.387 Å
α = 103.00°, β = 118.68°, γ = 118.69°
Element x y z (fractional)
Se (0.758, 0.067, 0.849)
Se (0.242, 0.933, 0.151)
Tl (0.365, 0.155, 0.858)
Se (0.742, 0.651, 0.433)
Se (0.258, 0.349, 0.567)
Mg (0.750, 0.742, 0.758)
Tl (0.865, 0.358, 0.655)
Mg (0.250, 0.258, 0.242)
Tl (0.136, 0.642, 0.345)
Tl (0.635, 0.845, 0.142)

# 2
## Mg2TlSe2 (PBE)

Data for a geometry-optimized Mg2TlSe2 structure.

Computed properties:
**D(E_F)**: 3.66 states/eV per cell
**Formation energy (no corrections)**: -0.7202 eV per atom
**Crystal system**: tetragonal
**Space group**: I4/mmm (139)

a = 4.519 Å, b = 4.519 Å, c = 7.419 Å
α = 72.27°, β = 72.27°, γ = 90.00°
Element x y z (fractional)
Tl (0.000, 0.000, 0.000)
Se (0.645, 0.645, 0.710)
Se (0.355, 0.355, 0.290)
Mg (0.250, 0.750, 0.500)
Mg (0.750, 0.250, 0.500)